La5Sm2Dy2 after structural relaxation. Source: Alexandria via LeMat-Bulk, functional PBE.

Energy of formation in eV per atom: 0.114
DFT total energy in eV/atom: -4.695
Density of states at the Fermi level in states/eV/atom: 2.2677

Cell: 5.869 5.869 18.841 Å, 90.00 98.95 90.00°
Space group C2/m (No. 12)
One atom of each set of equivalent atoms:
La 0.000 0.000 0.000 (multiplicity 2)
La 0.064 0.500 0.127 (multiplicity 4)
La 0.220 0.000 0.440 (multiplicity 4)
Sm 0.120 0.000 0.241 (multiplicity 4)
Dy 0.167 0.500 0.335 (multiplicity 4)